Entry 1:
Computed, not measured: a geometry-optimized CrCoPb structure at the PBE level of DFT.

Properties
- Symmetry: No. 216
- Crystal system: cubic
- M_tot: 1.2 μB per cell
- Density of states at the Fermi level: 1.36 states/eV per atom
- Formation energy: 557 meV/atom

Cell lengths 4.2050, 4.2050, 4.2050 Å; angles 60.00, 60.00, 60.00 degrees
Sites, in units of the cell vectors:
Cr 0.0000 0.0000 0.0000
Co 0.7500 0.7500 0.7500
Pb 0.5000 0.5000 0.5000

Entry 2:
Computed, not measured: a geometry-optimized CrCoPb2 structure at the PBE level of DFT.

Properties
- Symmetry: No. 123
- Crystal system: tetragonal
- M_tot: 4.8 μB per cell
- Density of states at the Fermi level: 1.37 states/eV per atom
- Formation energy: 666 meV/atom

Cell lengths 4.7727, 4.7727, 3.4908 Å; angles 90.00, 90.00, 90.00 degrees
Sites, in units of the cell vectors:
Cr 0.0000 0.0000 0.0000
Co 0.5000 0.5000 0.0000
Pb 0.0000 0.5000 0.5000
Pb 0.5000 0.0000 0.5000

Entry 3:
Computed, not measured: a geometry-optimized CrCoPb structure at the PBE level of DFT.

Properties
- Symmetry: No. 156
- Crystal system: trigonal
- M_tot: 1.0 μB per cell
- Density of states at the Fermi level: 0.86 states/eV per atom
- Formation energy: 709 meV/atom

Cell lengths 3.7854, 3.7854, 4.1700 Å; angles 90.00, 90.00, 120.00 degrees
Sites, in units of the cell vectors:
Cr 0.0000 0.0000 0.0000
Co 0.3333 0.6667 0.8900
Pb 0.6667 0.3333 0.4672

Entry 4:
Computed, not measured: a geometry-optimized Cr3CoPb structure at the PBE level of DFT.

Properties
- Symmetry: No. 221
- Crystal system: cubic
- M_tot: 6.5 μB per cell
- Density of states at the Fermi level: 1.45 states/eV per atom
- Formation energy: 988 meV/atom

Cell lengths 4.4375, 4.4375, 4.4375 Å; angles 90.00, 90.00, 90.00 degrees
Sites, in units of the cell vectors:
Cr 0.0000 0.0000 0.5000
Cr 0.0000 0.5000 0.0000
Cr 0.5000 0.0000 0.0000
Co 0.0000 0.0000 0.0000
Pb 0.5000 0.5000 0.5000

Entry 5:
Computed, not measured: a geometry-optimized CrCo2PbSe structure at the PBE level of DFT.

Properties
- Symmetry: No. 123
- Crystal system: tetragonal
- M_tot: 0.8 μB per cell
- Density of states at the Fermi level: 1.06 states/eV per atom
- E_form (uncorrected): 73.4 kJ per mole of atoms

Cell lengths 4.4580, 4.4580, 4.5799 Å; angles 90.00, 90.00, 90.00 degrees
Sites, in units of the cell vectors:
Cr 0.0000 0.0000 0.0000
Co 0.0000 0.5000 0.0000
Co 0.5000 0.0000 0.0000
Pb 0.5000 0.5000 0.5000
Se 0.0000 0.0000 0.5000

Entry 6:
Computed, not measured: a geometry-optimized VCr2CoPb structure at the PBE level of DFT.

Properties
- Symmetry: No. 123
- Crystal system: tetragonal
- M_tot: 5.0 μB per cell
- Density of states at the Fermi level: 1.42 states/eV per atom
- Formation energy: 1048 meV/atom

Cell lengths 4.4819, 4.4819, 4.3991 Å; angles 90.00, 90.00, 90.00 degrees
Sites, in units of the cell vectors:
V 0.0000 0.0000 0.0000
Cr 0.0000 0.5000 0.0000
Cr 0.5000 0.0000 0.0000
Co 0.0000 0.0000 0.5000
Pb 0.5000 0.5000 0.5000

Entry 7:
Computed, not measured: a geometry-optimized Cr3CoPd structure at the PBE level of DFT.

Properties
- Symmetry: No. 221
- Crystal system: cubic
- M_tot: 0.0 μB per cell
- Density of states at the Fermi level: 2.00 states/eV per atom
- Formation energy: 1126 meV/atom

Cell lengths 4.1821, 4.1821, 4.1821 Å; angles 90.00, 90.00, 90.00 degrees
Sites, in units of the cell vectors:
Cr 0.0000 0.0000 0.5000
Cr 0.0000 0.5000 0.0000
Cr 0.5000 0.0000 0.0000
Co 0.0000 0.0000 0.0000
Pd 0.5000 0.5000 0.5000

Entry 8:
Computed, not measured: a geometry-optimized Cr2CoPd structure at the PBE level of DFT.

Properties
- Symmetry: No. 225
- Crystal system: cubic
- M_tot: 6.9 μB per cell
- Density of states at the Fermi level: 1.05 states/eV per atom
- Formation energy: 292 meV/atom

Cell lengths 4.2299, 4.2299, 4.2299 Å; angles 60.00, 60.00, 60.00 degrees
Sites, in units of the cell vectors:
Cr 0.2500 0.2500 0.2500
Cr 0.7500 0.7500 0.7500
Co 0.0000 0.0000 0.0000
Pd 0.5000 0.5000 0.5000

Entry 9:
Computed, not measured: a geometry-optimized CrCo2Pd structure at the PBE level of DFT.

Properties
- Symmetry: No. 225
- Crystal system: cubic
- M_tot: 3.1 μB per cell
- Density of states at the Fermi level: 1.51 states/eV per atom
- Formation energy: 287 meV/atom

Cell lengths 4.1079, 4.1079, 4.1079 Å; angles 60.00, 60.00, 60.00 degrees
Sites, in units of the cell vectors:
Cr 0.0000 0.0000 0.0000
Co 0.2500 0.2500 0.2500
Co 0.7500 0.7500 0.7500
Pd 0.5000 0.5000 0.5000

Entry 10:
Computed, not measured: a geometry-optimized CrCo2Pd structure at the PBE level of DFT.

Properties
- Symmetry: No. 122
- Crystal system: tetragonal
- M_tot: 0.0 μB per cell
- Density of states at the Fermi level: 0.22 states/eV per atom
- Formation energy: 468 meV/atom

Cell lengths 5.1760, 5.1760, 5.1760 Å; angles 104.08, 104.08, 120.89 degrees
Sites, in units of the cell vectors:
Cr 0.0000 0.0000 0.0000
Cr 0.7500 0.2500 0.5000
Co 0.0823 0.6250 0.9573
Co 0.3750 0.3323 0.4573
Co 0.6677 0.1250 0.0427
Co 0.8750 0.9177 0.5427
Pd 0.2500 0.7500 0.5000
Pd 0.5000 0.5000 0.0000

Entry 11:
Computed, not measured: a geometry-optimized CrCo3Pd structure at the PBE level of DFT.

Properties
- Symmetry: No. 221
- Crystal system: cubic
- M_tot: 2.1 μB per cell
- Density of states at the Fermi level: 1.74 states/eV per atom
- Formation energy: 1085 meV/atom

Cell lengths 4.1476, 4.1476, 4.1476 Å; angles 90.00, 90.00, 90.00 degrees
Sites, in units of the cell vectors:
Cr 0.0000 0.0000 0.0000
Co 0.0000 0.0000 0.5000
Co 0.0000 0.5000 0.0000
Co 0.5000 0.0000 0.0000
Pd 0.5000 0.5000 0.5000

Entry 12:
Computed, not measured: a geometry-optimized CrCo2Pd9 structure at the PBE level of DFT.

Properties
- Symmetry: No. 123
- Crystal system: tetragonal
- M_tot: 9.0 μB per cell
- Density of states at the Fermi level: 1.78 states/eV per atom
- Formation energy: 18 meV/atom

Cell lengths 3.8753, 3.8753, 11.6935 Å; angles 90.00, 90.00, 90.00 degrees
Sites, in units of the cell vectors:
Cr 0.0000 0.0000 0.0000
Co 0.0000 0.0000 0.3355
Co 0.0000 0.0000 0.6645
Pd 0.0000 0.5000 0.1689
Pd 0.0000 0.5000 0.5000
Pd 0.0000 0.5000 0.8311
Pd 0.5000 0.0000 0.1689
Pd 0.5000 0.0000 0.5000
Pd 0.5000 0.0000 0.8311
Pd 0.5000 0.5000 0.0000
Pd 0.5000 0.5000 0.3346
Pd 0.5000 0.5000 0.6654

- Which formula does entry 12 have?
  CrCo2Pd9

- What is the M_tot in the first record?
  1.2 μB per cell

What did the ninth record say?
Computed, not measured: a geometry-optimized CrCo2Pd structure at the PBE level of DFT.

Properties
- Symmetry: No. 225
- Crystal system: cubic
- M_tot: 3.1 μB per cell
- Density of states at the Fermi level: 1.51 states/eV per atom
- Formation energy: 287 meV/atom

Cell lengths 4.1079, 4.1079, 4.1079 Å; angles 60.00, 60.00, 60.00 degrees
Sites, in units of the cell vectors:
Cr 0.0000 0.0000 0.0000
Co 0.2500 0.2500 0.2500
Co 0.7500 0.7500 0.7500
Pd 0.5000 0.5000 0.5000